Entry 1:
Compound: Na2LiAsS4
Source: Alexandria via LeMat-Bulk
Functional: PBE
Structure: relaxed

Cell: 6.443 6.045 6.045 Å, 73.50 57.80 57.80°
Atoms (fractional coordinates):
S: 0.122 0.342 0.000
S: 0.536 0.000 0.342
S: 0.878 0.000 0.658
S: 0.464 0.658 0.000
Li: 0.000 0.000 0.000
As: 0.500 0.000 0.000
Na: 0.500 0.500 0.500
Na: 0.000 0.500 0.500

Summary:
crystal system	tetragonal
energy relative to the elements, uncorrected	-759	meV per atom
space group	I-42m

=====

Entry 2:
Compound: TbPr2Er4Sc
Source: Alexandria via LeMat-Bulk
Functional: PBE
Structure: relaxed

Cell: 9.412 9.412 11.727 Å, 128.52 128.52 88.15°
Atoms (fractional coordinates):
Pr: 0.500 0.000 0.500
Pr: 0.500 0.500 0.000
Pr: 0.500 0.000 0.000
Pr: 0.000 0.000 0.500
Er: 0.765 0.236 0.001
Er: 0.235 0.764 0.999
Er: 0.749 0.747 0.981
Er: 0.753 0.751 0.519
Er: 0.247 0.249 0.481
Er: 0.264 0.735 0.499
Er: 0.736 0.265 0.501
Er: 0.251 0.253 0.019
Sc: 0.000 0.000 0.000
Sc: 0.500 0.500 0.500
Tb: 0.000 0.500 0.500
Tb: 0.000 0.500 0.000

Summary:
crystal system	monoclinic
formation energy	420	meV per atom
space group	C2/c

=====

Entry 3:
Compound: Ba2TePdN
Source: Alexandria via LeMat-Bulk
Functional: PBE
Structure: relaxed

Cell: 5.879 5.879 4.031 Å, 90.00 90.00 90.00°
Atoms (fractional coordinates):
Te: 0.500 0.500 0.500
Ba: 0.000 0.500 0.000
Ba: 0.500 0.000 0.000
Pd: 0.000 0.000 0.500
N: 0.000 0.000 0.000

Summary:
crystal system	tetragonal
energy relative to the elements, uncorrected	-875	meV per atom
space group	P4/mmm

=====

no.,V (Å³ per cell)
1,168.6
2,517.7
3,139.3